This record from the Alexandria database describes CsCaH2SeF after structural relaxation. The functional is PBE.

abc: 4.024 4.108 8.142
angles: 90.00 103.11 90.00
Sites, in units of the cell vectors:
Cs 0.000 0.000 0.000
Ca 0.227 0.000 0.460
H 0.043 0.500 0.746
H 0.852 0.500 0.714
Se 0.662 0.500 0.333
F 0.396 0.000 0.730

## Properties
Crystal system: monoclinic
Magnetic moment (Bohr magnetons per cell): 0.0
E above lowest polymorph (meV/atom): 73

This record from the Alexandria database describes VZnH after structural relaxation. The functional is PBE.

abc: 2.752 2.752 9.606
angles: 90.00 90.00 120.00
Sites, in units of the cell vectors:
V 0.000 0.000 0.130
V 0.000 0.000 0.870
Zn 0.333 0.667 0.354
Zn 0.333 0.667 0.646
H 0.667 0.333 0.000
H 0.667 0.333 0.500

## Properties
Crystal system: hexagonal
Magnetic moment (Bohr magnetons per cell): 0.0
E above lowest polymorph (meV/atom): 273